# TaAsIr3

A relaxed structure of TaAsIr3 (PBE, Alexandria via LeMat-Bulk).

For the density of states at the Fermi level, the calculation gives 0.92 states/eV per atom. The calculation puts the total magnetic moment at 0.0000 μB/atom. As for the energy above the most stable polymorph in this dataset: 0.435 eV per atom. The calculation puts the formation energy from the elements at 1.553 eV/atom.

The structure belongs to space group Pm-3m (No. 221); the cell edges are 4.785, 4.785 and 4.785 Å and the angles 90.00°, 90.00° and 90.00°. Symmetry generates all atoms from Ta at (0.000, 0.000, 0.000), As at (0.500, 0.500, 0.500) and Ir at (0.000, 0.000, 0.500).

---

# TaAsIr2

A relaxed structure of TaAsIr2 (PBE, Alexandria via LeMat-Bulk).

For the density of states at the Fermi level, the calculation gives 0.65 states/eV per atom. The calculation puts the total magnetic moment at 0.0000 μB/atom. The calculation puts the formation energy from the elements at -0.258 eV/atom.

The structure belongs to space group P4/mmm (No. 123); the cell edges are 2.931, 2.931 and 7.343 Å and the angles 90.00°, 90.00° and 90.00°. Symmetry generates all atoms from Ta at (0.000, 0.000, 0.000), As at (0.000, 0.000, 0.500) and Ir at (0.500, 0.500, 0.257).

---

# Ta2AsIr

A relaxed structure of Ta2AsIr (PBE, Alexandria via LeMat-Bulk).

For the density of states at the Fermi level, the calculation gives 0.68 states/eV per atom. The calculation puts the total magnetic moment at 0.0000 μB/atom. The calculation puts the formation energy from the elements at -0.197 eV/atom.

The structure belongs to space group I4/mmm (No. 139); the cell edges are 4.083, 4.083 and 7.900 Å and the angles 90.00°, 90.00° and 90.00°. Symmetry generates all atoms from Ta at (0.000, 0.500, 0.250), As at (0.000, 0.000, 0.000) and Ir at (0.000, 0.000, 0.500).

---

# Ta2AsIr

A relaxed structure of Ta2AsIr (PBE, Alexandria via LeMat-Bulk).

For the density of states at the Fermi level, the calculation gives 0.79 states/eV per atom. The calculation puts the total magnetic moment at 0.0000 μB/atom. The calculation puts the formation energy from the elements at -0.335 eV/atom.

The structure belongs to space group Amm2 (No. 38); the cell edges are 3.763, 3.245 and 11.064 Å and the angles 90.00°, 90.00° and 90.00°. Symmetry generates all atoms from Ta at (0.000, 0.000, 0.000), Ta at (0.500, 0.000, 0.345), As at (0.500, 0.000, 0.591) and Ir at (0.000, 0.000, 0.742).

---

# TaAsIr2

A relaxed structure of TaAsIr2 (PBE, Alexandria via LeMat-Bulk).

For the density of states at the Fermi level, the calculation gives 0.58 states/eV per atom. The calculation puts the total magnetic moment at 0.0000 μB/atom. The calculation puts the formation energy from the elements at -0.239 eV/atom.

The structure belongs to space group P2/m (No. 10); the cell edges are 2.879, 4.227 and 5.350 Å and the angles 90.00°, 105.59° and 90.00°. Symmetry generates all atoms from Ta at (0.000, 0.000, 0.000), As at (0.000, 0.000, 0.500) and Ir at (0.366, 0.500, 0.743).

---

# Ta2AsIr

A relaxed structure of Ta2AsIr (PBE, Alexandria via LeMat-Bulk).

For the density of states at the Fermi level, the calculation gives 0.87 states/eV per atom. The calculation puts the total magnetic moment at 0.0000 μB/atom. The calculation puts the formation energy from the elements at -0.165 eV/atom.

The structure belongs to space group I-4m2 (No. 119); the cell edges are 3.823, 3.823 and 9.088 Å and the angles 90.00°, 90.00° and 90.00°. Symmetry generates all atoms from Ta at (0.000, 0.000, 0.000), Ta at (0.000, 0.500, 0.250), As at (0.000, 0.500, 0.750) and Ir at (0.000, 0.000, 0.500).

---

# Ta4AsIr2

A relaxed structure of Ta4AsIr2 (PBE, Alexandria via LeMat-Bulk).

For the density of states at the Fermi level, the calculation gives 0.71 states/eV per atom. The calculation puts the total magnetic moment at 0.0000 μB/atom. The calculation puts the formation energy from the elements at 0.563 eV/atom.

The structure belongs to space group I4/mmm (No. 139); the cell edges are 4.623, 4.623 and 13.189 Å and the angles 90.00°, 90.00° and 90.00°. Symmetry generates all atoms from Ta at (0.000, 0.000, 0.194), Ta at (0.000, 0.500, 0.000), As at (0.000, 0.000, 0.000) and Ir at (0.000, 0.000, 0.379).

---

# Ta2AsIr

A relaxed structure of Ta2AsIr (PBE, Alexandria via LeMat-Bulk).

For the density of states at the Fermi level, the calculation gives 0.79 states/eV per atom. The calculation puts the total magnetic moment at 0.0000 μB/atom. The calculation puts the formation energy from the elements at -0.134 eV/atom.

The structure belongs to space group P4/mmm (No. 123); the cell edges are 3.990, 3.990 and 4.144 Å and the angles 90.00°, 90.00° and 90.00°. Symmetry generates all atoms from Ta at (0.000, 0.500, 0.000), As at (0.000, 0.000, 0.500) and Ir at (0.500, 0.500, 0.500).